1.
# MnMo2RhN

A relaxed structure of MnMo2RhN (PBE-GGA, the Alexandria database).

abc: 4.088 4.088 3.806
angles: 90.00 90.00 90.00
Fractional positions:
Mn: 0.000 0.000 0.000
Mo: 0.000 0.500 0.500
Mo: 0.500 0.000 0.500
Rh: 0.500 0.500 0.000
N: 0.000 0.000 0.500

Output
Uncorrected energy, eV/atom: -9.46
Formation energy (no corrections), kJ/mol of atoms: -15.6
SG: P4/mmm
Total moment, μB/atom: 0.00

***

2.
# MnMo2RuN

A relaxed structure of MnMo2RuN (PBE-GGA, the Alexandria database).

abc: 4.089 4.089 3.856
angles: 90.00 90.00 90.00
Fractional positions:
Mn: 0.000 0.000 0.000
Mo: 0.000 0.500 0.500
Mo: 0.500 0.000 0.500
Ru: 0.500 0.500 0.000
N: 0.000 0.000 0.500

Output
Uncorrected energy, eV/atom: -9.80
Formation energy (no corrections), kJ/mol of atoms: -10.8
SG: P4/mmm
Total moment, μB/atom: 0.32